BeOs2PtSe | PBE-GGA | optimized geometry

## Properties
formation energy without anion corrections = 138 kJ/mol of atoms
Fermi-level density of states = 0.955 states/eV/atom
M_tot = 0.00 μB/cell
calculated volume = 16.6 Å³/atom

a b c (Å): 4.5572 4.5572 3.9991
angles (deg): 90.00 90.00 90.00
Atoms (fractional coordinates):
Be 0.0000 0.0000 0.0000
Os 0.0000 0.5000 0.5000
Os 0.5000 0.0000 0.5000
Pt 0.5000 0.5000 0.0000
Se 0.0000 0.0000 0.5000